(1)
Computed, not measured: a relaxed structure of BaSr2Si at the PBEsol level of DFT.

Computed properties:
- formation energy from raw total energies (eV/f.u.) = 0.0
- density (g/cm³) = 3.238
- electronic total energy (eV per atom) = -2.905
- symmetry = I-42d, No. 122

Cell: 7.907 7.907 7.907 Å, 100.99 100.99 128.22°
Fractional positions:
Ba1 0.000 0.000 0.000
Ba2 0.750 0.250 0.500
Sr1 0.221 0.125 0.596
Sr2 0.375 0.779 0.904
Sr3 0.529 0.625 0.404
Sr4 0.875 0.471 0.096
Si1 0.250 0.750 0.500
Si2 0.500 0.500 0.000

(2)
Computed, not measured: a relaxed structure of ZrHgAu2 at the PBEsol level of DFT.

Computed properties:
- density (g/cm³) = 15.004
- electronic total energy (eV per atom) = -4.725
- symmetry = P4/mmm, No. 123
- formation enthalpy at 0 K (eV per atom) = -0.35

Cell: 3.124 3.124 7.777 Å, 90.00 90.00 90.00°
Fractional positions:
Zr1 0.000 0.000 0.000
Hg1 0.000 0.000 0.500
Au1 0.500 0.500 0.243
Au2 0.500 0.500 0.757

(3)
Computed, not measured: a relaxed structure of TaAg2Cl at the PBEsol level of DFT.

Computed properties:
- formation energy from raw total energies (eV/f.u.) = 1.3
- density (g/cm³) = 10.053
- electronic total energy (eV per atom) = -4.959
- symmetry = P2/m, No. 10

Cell: 2.857 5.254 4.758 Å, 90.00 91.65 90.00°
Fractional positions:
Ta1 0.000 0.000 0.000
Ag1 0.265 0.500 0.758
Ag2 0.735 0.500 0.242
Cl1 0.000 0.000 0.500

(4)
Computed, not measured: a relaxed structure of MnCd at the PBEsol level of DFT.

Computed properties:
- density (g/cm³) = 8.485
- electronic total energy (eV per atom) = -5.054
- symmetry = Imma, No. 74
- formation enthalpy at 0 K (eV per atom) = 0.42

Cell: 5.488 5.488 5.488 Å, 149.06 128.95 60.90°
Fractional positions:
Mn1 0.387 0.137 0.250
Mn2 0.613 0.863 0.750
Cd1 0.133 0.383 0.750
Cd2 0.867 0.617 0.250

(5)
Computed, not measured: a relaxed structure of KYTl at the PBEsol level of DFT.

Computed properties:
- density (g/cm³) = 5.053
- electronic total energy (eV per atom) = -3.222
- symmetry = F-43m, No. 216
- formation enthalpy at 0 K (eV per atom) = 0.31

Cell: 5.365 5.365 5.365 Å, 60.00 60.00 60.00°
Fractional positions:
K1 0.000 0.000 0.000
Y1 0.500 0.500 0.500
Tl1 0.250 0.250 0.250

(6)
Computed, not measured: a relaxed structure of LiTcBr at the PBEsol level of DFT.

Computed properties:
- formation energy from raw total energies (eV/f.u.) = 1.5
- density (g/cm³) = 6.457
- electronic total energy (eV per atom) = -4.535
- symmetry = P-6m2, No. 187

Cell: 4.279 4.279 2.998 Å, 90.00 90.00 120.00°
Fractional positions:
Li1 0.000 0.000 0.000
Tc1 0.333 0.667 0.500
Br1 0.667 0.333 0.500

(7)
Computed, not measured: a relaxed structure of MgMo4Os at the PBEsol level of DFT.

Computed properties:
- density (g/cm³) = 10.391
- electronic total energy (eV per atom) = -9.783
- symmetry = F-43m, No. 216
- formation enthalpy at 0 K (eV per atom) = 0.38

Cell: 5.133 5.133 5.133 Å, 60.00 60.00 60.00°
Fractional positions:
Mg1 0.000 0.000 0.000
Mo1 0.122 0.626 0.626
Mo2 0.626 0.122 0.626
Mo3 0.626 0.626 0.122
Mo4 0.626 0.626 0.626
Os1 0.250 0.250 0.250

(8)
Computed, not measured: a relaxed structure of MoAsI3 at the PBEsol level of DFT.

Computed properties:
- formation energy from raw total energies (eV/f.u.) = 3.8
- density (g/cm³) = 5.856
- electronic total energy (eV per atom) = -3.680
- symmetry = Pm-3m, No. 221

Cell: 5.388 5.388 5.388 Å, 90.00 90.00 90.00°
Fractional positions:
Mo1 0.000 0.000 0.000
As1 0.500 0.500 0.500
I1 0.000 0.000 0.500
I2 0.000 0.500 0.000
I3 0.500 0.000 0.000

(9)
Computed, not measured: a relaxed structure of ZnIrRh2I at the PBEsol level of DFT.

Computed properties:
- formation energy from raw total energies (eV/f.u.) = 8.9
- density (g/cm³) = 10.161
- electronic total energy (eV per atom) = -4.120
- symmetry = P4/mmm, No. 123

Cell: 4.457 4.457 4.856 Å, 90.00 90.00 90.00°
Fractional positions:
Zn1 0.000 0.000 0.000
Ir1 0.500 0.500 0.500
Rh1 0.000 0.500 0.000
Rh2 0.500 0.000 0.000
I1 0.000 0.000 0.500

(10)
Computed, not measured: a relaxed structure of MgSc5 at the PBEsol level of DFT.

Computed properties:
- density (g/cm³) = 2.936
- electronic total energy (eV per atom) = -5.746
- symmetry = P-62m, No. 189
- formation enthalpy at 0 K (eV per atom) = 0.04

Cell: 5.617 5.617 5.156 Å, 90.00 90.00 120.00°
Fractional positions:
Mg1 0.000 0.000 0.000
Sc1 0.000 0.329 0.500
Sc2 0.329 0.000 0.500
Sc3 0.333 0.667 0.000
Sc4 0.667 0.333 0.000
Sc5 0.671 0.671 0.500

(11)
Computed, not measured: a relaxed structure of CuRhCl2 at the PBEsol level of DFT.

Computed properties:
- formation energy from raw total energies (eV/f.u.) = 0.7
- density (g/cm³) = 6.113
- electronic total energy (eV per atom) = -3.954
- symmetry = Immm, No. 71

Cell: 4.859 4.859 4.859 Å, 142.41 108.04 84.14°
Fractional positions:
Cu1 0.000 0.000 0.000
Rh1 0.500 0.500 0.000
Cl1 0.255 0.755 0.500
Cl2 0.745 0.245 0.500

(12)
Computed, not measured: a relaxed structure of KCa3Os at the PBEsol level of DFT.

Computed properties:
- density (g/cm³) = 4.395
- electronic total energy (eV per atom) = -2.041
- symmetry = Pm-3m, No. 221
- formation enthalpy at 0 K (eV per atom) = 1.91

Cell: 5.092 5.092 5.092 Å, 90.00 90.00 90.00°
Fractional positions:
K1 0.000 0.000 0.000
Ca1 0.000 0.000 0.500
Ca2 0.000 0.500 0.000
Ca3 0.500 0.000 0.000
Os1 0.500 0.500 0.500

(13)
Computed, not measured: a relaxed structure of KPt2S at the PBEsol level of DFT.

Computed properties:
- formation energy from raw total energies (eV/f.u.) = -1.7
- density (g/cm³) = 7.489
- electronic total energy (eV per atom) = -5.280
- symmetry = I4_1/amd, No. 141

Cell: 8.136 8.136 8.136 Å, 141.79 141.79 55.14°
Fractional positions:
K1 0.375 0.625 0.750
K2 0.625 0.375 0.250
Pt1 0.000 0.000 0.000
Pt2 0.000 0.000 0.500
Pt3 0.000 0.500 0.000
Pt4 0.500 0.000 0.500
S1 0.125 0.875 0.250
S2 0.875 0.125 0.750

(14)
Computed, not measured: a relaxed structure of CsSbTe2I at the PBEsol level of DFT.

Computed properties:
- formation energy from raw total energies (eV/f.u.) = 1.2
- density (g/cm³) = 5.052
- electronic total energy (eV per atom) = -2.616
- symmetry = P4/mmm, No. 123

Cell: 5.965 5.965 5.883 Å, 90.00 90.00 90.00°
Fractional positions:
Cs1 0.000 0.000 0.000
Sb1 0.500 0.500 0.000
Te1 0.000 0.500 0.500
Te2 0.500 0.000 0.500
I1 0.500 0.500 0.500

(15)
Computed, not measured: a relaxed structure of CdCuOs2S at the PBEsol level of DFT.

Computed properties:
- formation energy from raw total energies (eV/f.u.) = 13.9
- density (g/cm³) = 9.130
- electronic total energy (eV per atom) = -4.087
- symmetry = P4/mmm, No. 123

Cell: 4.882 4.882 4.490 Å, 90.00 90.00 90.00°
Fractional positions:
Cd1 0.000 0.000 0.000
Cu1 0.000 0.000 0.500
Os1 0.000 0.500 0.000
Os2 0.500 0.000 0.000
S1 0.500 0.500 0.500

(16)
Computed, not measured: a relaxed structure of Ba2InHg at the PBEsol level of DFT.

Computed properties:
- density (g/cm³) = 7.118
- electronic total energy (eV per atom) = -2.402
- symmetry = Imm2, No. 44
- formation enthalpy at 0 K (eV per atom) = -0.44

Cell: 6.844 6.844 6.844 Å, 145.25 130.41 61.97°
Fractional positions:
Ba1 0.000 0.000 0.000
Ba2 0.691 0.191 0.500
In1 0.424 0.424 0.000
Hg1 0.245 0.745 0.500

(17)
Computed, not measured: a relaxed structure of CdHg2Pb at the PBEsol level of DFT.

Computed properties:
- density (g/cm³) = 12.096
- electronic total energy (eV per atom) = -1.529
- symmetry = Cmm2, No. 35
- formation enthalpy at 0 K (eV per atom) = 0.05

Cell: 3.327 3.327 9.616 Å, 90.00 90.00 111.67°
Fractional positions:
Cd1 0.000 0.000 0.000
Hg1 0.000 0.000 0.470
Hg2 0.500 0.500 0.232
Pb1 0.500 0.500 0.736

(18)
Computed, not measured: a relaxed structure of BaHgO2F at the PBEsol level of DFT.

Computed properties:
- formation energy from raw total energies (eV/f.u.) = -3.5
- density (g/cm³) = 5.240
- electronic total energy (eV per atom) = -3.728
- symmetry = P4/mmm, No. 123

Cell: 5.017 5.017 4.896 Å, 90.00 90.00 90.00°
Fractional positions:
Ba1 0.000 0.000 0.000
Hg1 0.500 0.500 0.500
O1 0.000 0.500 0.000
O2 0.500 0.000 0.000
F1 0.000 0.000 0.500

(19)
Computed, not measured: a relaxed structure of La2Y at the PBEsol level of DFT.

Computed properties:
- density (g/cm³) = 6.057
- electronic total energy (eV per atom) = -5.802
- symmetry = C2/m, No. 12
- formation enthalpy at 0 K (eV per atom) = 0.04

Cell: 6.849 6.849 8.600 Å, 103.50 103.50 30.91°
Fractional positions:
La1 0.028 0.028 0.306
La2 0.361 0.361 0.970
La3 0.639 0.639 0.030
La4 0.972 0.972 0.694
Y1 0.303 0.303 0.364
Y2 0.697 0.697 0.636

(20)
Computed, not measured: a relaxed structure of Ta4Co4Si7 at the PBEsol level of DFT.

Computed properties:
- formation energy from raw total energies (eV/f.u.) = -10.9
- density (g/cm³) = 10.088
- electronic total energy (eV per atom) = -8.820
- symmetry = I4/mmm, No. 139

Cell: 9.131 9.131 9.131 Å, 94.17 94.17 148.73°
Fractional positions:
Ta1 0.000 0.190 0.190
Ta2 0.000 0.810 0.810
Ta3 0.190 0.000 0.190
Ta4 0.366 0.366 0.732
Ta5 0.366 0.634 0.000
Ta6 0.634 0.366 0.000
Ta7 0.634 0.634 0.268
Ta8 0.810 0.000 0.810
Co1 0.101 0.601 0.202
Co2 0.101 0.899 0.500
Co3 0.399 0.601 0.500
Co4 0.399 0.899 0.798
Co5 0.601 0.101 0.202
Co6 0.601 0.399 0.500
Co7 0.899 0.101 0.500
Co8 0.899 0.399 0.798
Si1 0.000 0.405 0.405
Si2 0.000 0.595 0.595
Si3 0.202 0.500 0.702
Si4 0.209 0.209 0.417
Si5 0.209 0.791 0.000
Si6 0.251 0.251 0.000
Si7 0.405 0.000 0.405
Si8 0.500 0.202 0.702
Si9 0.500 0.798 0.298
Si10 0.595 0.000 0.595
Si11 0.749 0.749 0.000
Si12 0.791 0.209 0.000
Si13 0.791 0.791 0.583
Si14 0.798 0.500 0.298